w) First-principles (GGA-PBE) data for a relaxed PIr3I crystal, as listed in the Alexandria database.

Summary:
DOS at the Fermi energy   8.87 states/eV per cell
Symmetry   Pm-3m (221)
Magnetic moment   0.000 μB per formula unit
Volume   92.7 Å³/f.u.

a b c (Å): 4.5262 4.5262 4.5262
angles (deg): 90.00 90.00 90.00
Closest atoms and distances in Å follow each position.
Positions (direct):
1 P 0.0000 0.0000 0.0000  6 Ir 2.26
2 Ir 0.0000 0.0000 0.5000  2 P 2.26
3 Ir 0.0000 0.5000 0.0000  2 P 2.26
4 Ir 0.5000 0.0000 0.0000  2 P 2.26
5 I 0.5000 0.5000 0.5000  12 Ir 3.20

x) First-principles (GGA-PBE) data for a relaxed PIr3I crystal, as listed in the Alexandria database.

Summary:
DOS at the Fermi energy   5.33 states/eV per cell
Symmetry   Pm-3m (221)
Magnetic moment   0.000 μB per formula unit
Volume   114.4 Å³/f.u.

a b c (Å): 4.8541 4.8541 4.8541
angles (deg): 90.00 90.00 90.00
Closest atoms and distances in Å follow each position.
Positions (direct):
1 P 0.0000 0.0000 0.0000  12 Ir 3.43
2 Ir 0.0000 0.5000 0.5000  2 I 2.43
3 Ir 0.5000 0.0000 0.5000  2 I 2.43
4 Ir 0.5000 0.5000 0.0000  2 I 2.43
5 I 0.5000 0.5000 0.5000  6 Ir 2.43

Most favorable structure: w). The second most favorable one is 1439 meV/atom above it.

w) First-principles (GGA-PBE) data for a relaxed P2IrSI crystal, as listed in the Alexandria database.

Summary:
DOS at the Fermi energy   4.34 states/eV per cell
Symmetry   P4/mmm (123)
Magnetic moment   0.000 μB per formula unit
Volume   106.1 Å³/f.u.

a b c (Å): 4.5729 4.5729 5.0759
angles (deg): 90.00 90.00 90.00
Closest atoms and distances in Å follow each position.
Positions (direct):
1 P 0.0000 0.5000 0.0000  2 Ir 2.29
2 P 0.5000 0.0000 0.0000  2 Ir 2.29
3 Ir 0.0000 0.0000 0.0000  4 P 2.29, 2 S 2.54
4 S 0.0000 0.0000 0.5000  2 Ir 2.54
5 I 0.5000 0.5000 0.5000  4 S 3.23, 8 P 3.42

x) First-principles (GGA-PBE) data for a relaxed P2IrSI crystal, as listed in the Alexandria database.

Summary:
DOS at the Fermi energy   5.18 states/eV per cell
Symmetry   P4/mmm (123)
Magnetic moment   1.025 μB per formula unit
Volume   123.4 Å³/f.u.

a b c (Å): 5.0512 5.0512 4.8379
angles (deg): 90.00 90.00 90.00
Closest atoms and distances in Å follow each position.
Positions (direct):
1 P 0.0000 0.5000 0.0000  2 I 2.53
2 P 0.5000 0.0000 0.0000  2 I 2.53
3 Ir 0.0000 0.0000 0.5000  8 P 3.50, 4 S 3.57
4 S 0.5000 0.5000 0.5000  2 I 2.42
5 I 0.5000 0.5000 0.0000  2 S 2.42, 4 P 2.53

Most favorable structure: w). The second most favorable one is 1581 meV/atom above it.

w) First-principles (GGA-PBE) data for a relaxed Ir2Pb2I crystal, as listed in the Alexandria database.

Summary:
DOS at the Fermi energy   3.42 states/eV per cell
Symmetry   I4/mmm (139)
Magnetic moment   0.000 μB per formula unit
Volume   131.5 Å³/f.u.

a b c (Å): 9.6421 9.6421 9.6421
angles (deg): 157.47 157.47 32.08
Closest atoms and distances in Å follow each position.
Positions (direct):
1 Ir 0.2500 0.7500 0.5000  4 Ir 2.66, 4 Pb 2.94
2 Ir 0.7500 0.2500 0.5000  4 Ir 2.66, 4 Pb 2.94
3 Pb 0.1280 0.1280 0.0000  4 Ir 2.94
4 Pb 0.8720 0.8720 0.0000  4 Ir 2.94
5 I 0.5000 0.5000 0.0000  8 Pb 3.57, 4 I 3.77

x) First-principles (GGA-PBE) data for a relaxed Ir2Pb2I crystal, as listed in the Alexandria database.

Summary:
DOS at the Fermi energy   5.90 states/eV per cell
Symmetry   P4/mbm (127)
Magnetic moment   0.000 μB per formula unit
Volume   117.0 Å³/f.u.

a b c (Å): 8.7006 8.7006 3.0916
angles (deg): 90.00 90.00 90.00
Closest atoms and distances in Å follow each position.
Positions (direct):
1 Ir 0.1146 0.3854 0.0000  3 Ir 2.82-3.09, 6 Pb 2.94-3.09
2 Ir 0.3854 0.8854 0.0000  3 Ir 2.82-3.09, 6 Pb 2.94-3.09
3 Ir 0.6146 0.1146 0.0000  3 Ir 2.82-3.09, 6 Pb 2.94-3.09
4 Ir 0.8854 0.6146 0.0000  3 Ir 2.82-3.09, 6 Pb 2.94-3.09
5 Pb 0.1679 0.6679 0.5000  6 Ir 2.94-3.09, 2 Pb 3.09, 2 I 3.24
6 Pb 0.3321 0.1679 0.5000  6 Ir 2.94-3.09, 2 Pb 3.09, 2 I 3.24
7 Pb 0.6679 0.8321 0.5000  6 Ir 2.94-3.09, 2 Pb 3.09, 2 I 3.24
8 Pb 0.8321 0.3321 0.5000  6 Ir 2.94-3.09, 2 Pb 3.09, 2 I 3.24
9 I 0.0000 0.0000 0.5000  2 I 3.09, 4 Pb 3.24
10 I 0.5000 0.5000 0.5000  2 I 3.09, 4 Pb 3.24

Most favorable structure: w). The second most favorable one is 482 meV/atom above it.

w) First-principles (GGA-PBE) data for a relaxed Ir2PbI2 crystal, as listed in the Alexandria database.

Summary:
DOS at the Fermi energy   2.53 states/eV per cell
Symmetry   P4/mbm (127)
Magnetic moment   0.000 μB per formula unit
Volume   132.3 Å³/f.u.

a b c (Å): 7.1412 7.1412 5.1882
angles (deg): 90.00 90.00 90.00
Closest atoms and distances in Å follow each position.
Positions (direct):
1 Ir 0.1234 0.3766 0.0000  1 Ir 2.49, 2 I 2.68
2 Ir 0.3766 0.8766 0.0000  1 Ir 2.49, 2 I 2.68
3 Ir 0.6234 0.1234 0.0000  1 Ir 2.49, 2 I 2.68
4 Ir 0.8766 0.6234 0.0000  1 Ir 2.49, 2 I 2.68
5 Pb 0.0000 0.0000 0.0000  4 Ir 2.83
6 Pb 0.5000 0.5000 0.0000  4 Ir 2.83
7 I 0.1886 0.3114 0.5000  2 Ir 2.68
8 I 0.3114 0.8114 0.5000  2 Ir 2.68
9 I 0.6886 0.1886 0.5000  2 Ir 2.68
10 I 0.8114 0.6886 0.5000  2 Ir 2.68

x) First-principles (GGA-PBE) data for a relaxed Ir2PbI2 crystal, as listed in the Alexandria database.

Summary:
DOS at the Fermi energy   4.39 states/eV per cell
Symmetry   I4/mmm (139)
Magnetic moment   0.000 μB per formula unit
Volume   122.5 Å³/f.u.

a b c (Å): 6.4199 6.4199 6.4199
angles (deg): 136.80 136.80 62.75
Closest atoms and distances in Å follow each position.
Positions (direct):
1 Ir 0.1146 0.1146 0.0000  1 Ir 2.51, 4 I 2.79
2 Ir 0.8854 0.8854 0.0000  1 Ir 2.51, 4 I 2.79
3 Pb 0.5000 0.5000 0.0000  8 Ir 3.57, 8 I 3.62
4 I 0.2500 0.7500 0.5000  4 Ir 2.79
5 I 0.7500 0.2500 0.5000  4 Ir 2.79

Most favorable structure: w). The second most favorable one is 263 meV/atom above it.

w) First-principles (GGA-PBE) data for a relaxed IrPb2I crystal, as listed in the Alexandria database.

Summary:
DOS at the Fermi energy   1.08 states/eV per cell
Symmetry   Fm-3m (225)
Magnetic moment   0.000 μB per formula unit
Volume   106.2 Å³/f.u.

a b c (Å): 5.3156 5.3156 5.3156
angles (deg): 60.00 60.00 60.00
Closest atoms and distances in Å follow each position.
Positions (direct):
1 Ir 0.0000 0.0000 0.0000  8 Pb 3.26
2 Pb 0.2500 0.2500 0.2500  4 I 3.26, 4 Ir 3.26
3 Pb 0.7500 0.7500 0.7500  4 I 3.26, 4 Ir 3.26
4 I 0.5000 0.5000 0.5000  8 Pb 3.26

x) First-principles (GGA-PBE) data for a relaxed IrPb2I crystal, as listed in the Alexandria database.

Summary:
DOS at the Fermi energy   0.60 states/eV per cell
Symmetry   I-42d (122)
Magnetic moment   0.000 μB per formula unit
Volume   158.4 Å³/f.u.

a b c (Å): 8.0985 8.0985 8.0985
angles (deg): 128.45 128.45 75.90
Closest atoms and distances in Å follow each position.
Positions (direct):
1 Ir 0.0000 0.0000 0.0000  4 Pb 2.63
2 Ir 0.7500 0.2500 0.5000  4 Pb 2.63
3 Pb 0.0333 0.6250 0.9083  2 Ir 2.63
4 Pb 0.3750 0.2833 0.4083  2 Ir 2.63
5 Pb 0.7167 0.1250 0.0917  2 Ir 2.63
6 Pb 0.8750 0.9667 0.5917  2 Ir 2.63
7 I 0.2500 0.7500 0.5000  4 Pb 3.38
8 I 0.5000 0.5000 0.0000  4 Pb 3.38

Most favorable structure: x). The second most favorable one is 369 meV/atom above it.

w) First-principles (GGA-PBE) data for a relaxed Ir2PbI crystal, as listed in the Alexandria database.

Summary:
DOS at the Fermi energy   4.44 states/eV per cell
Symmetry   I-42d (122)
Magnetic moment   0.000 μB per formula unit
Volume   96.1 Å³/f.u.

a b c (Å): 8.7636 8.7636 8.7636
angles (deg): 147.64 147.64 46.41
Closest atoms and distances in Å follow each position.
Positions (direct):
1 Ir 0.0676 0.6250 0.9426  2 I 2.54, 2 Pb 2.79
2 Ir 0.3750 0.3176 0.4426  2 I 2.54, 2 Pb 2.79
3 Ir 0.6824 0.1250 0.0574  2 I 2.54, 2 Pb 2.79
4 Ir 0.8750 0.9324 0.5574  2 I 2.54, 2 Pb 2.79
5 Pb 0.2500 0.7500 0.5000  4 Ir 2.79
6 Pb 0.5000 0.5000 0.0000  4 Ir 2.79
7 I 0.0000 0.0000 0.0000  4 Ir 2.54
8 I 0.7500 0.2500 0.5000  4 Ir 2.54

x) First-principles (GGA-PBE) data for a relaxed Ir2PbI crystal, as listed in the Alexandria database.

Summary:
DOS at the Fermi energy   6.33 states/eV per cell
Symmetry   Fm-3m (225)
Magnetic moment   0.001 μB per formula unit
Volume   79.9 Å³/f.u.

a b c (Å): 4.8344 4.8344 4.8344
angles (deg): 60.00 60.00 60.00
Closest atoms and distances in Å follow each position.
Positions (direct):
1 Ir 0.2500 0.2500 0.2500  4 I 2.96, 4 Pb 2.96
2 Ir 0.7500 0.7500 0.7500  4 Pb 2.96, 4 I 2.96
3 Pb 0.0000 0.0000 0.0000  8 Ir 2.96
4 I 0.5000 0.5000 0.5000  8 Ir 2.96

Most favorable structure: w). The second most favorable one is 151 meV/atom above it.

w) First-principles (GGA-PBE) data for a relaxed IrPbI2 crystal, as listed in the Alexandria database.

Summary:
DOS at the Fermi energy   3.82 states/eV per cell
Symmetry   Fm-3m (225)
Magnetic moment   1.191 μB per formula unit
Volume   108.1 Å³/f.u.

a b c (Å): 5.3474 5.3474 5.3474
angles (deg): 60.00 60.00 60.00
Closest atoms and distances in Å follow each position.
Positions (direct):
1 Ir 0.0000 0.0000 0.0000  8 I 3.27
2 Pb 0.5000 0.5000 0.5000  8 I 3.27
3 I 0.2500 0.2500 0.2500  4 Pb 3.27, 4 Ir 3.27
4 I 0.7500 0.7500 0.7500  4 Pb 3.27, 4 Ir 3.27

x) First-principles (GGA-PBE) data for a relaxed IrPbI2 crystal, as listed in the Alexandria database.

Summary:
DOS at the Fermi energy   7.69 states/eV per cell
Symmetry   I-42d (122)
Magnetic moment   0.000 μB per formula unit
Volume   147.3 Å³/f.u.

a b c (Å): 7.8104 7.8104 7.8104
angles (deg): 126.96 126.96 78.31
Closest atoms and distances in Å follow each position.
Positions (direct):
1 Ir 0.0000 0.0000 0.0000  4 I 2.61
2 Ir 0.7500 0.2500 0.5000  4 I 2.61
3 Pb 0.2500 0.7500 0.5000  4 I 3.24
4 Pb 0.5000 0.5000 0.0000  4 I 3.24
5 I 0.0497 0.6250 0.9247  2 Ir 2.61
6 I 0.3750 0.2997 0.4247  2 Ir 2.61
7 I 0.7003 0.1250 0.0753  2 Ir 2.61
8 I 0.8750 0.9503 0.5753  2 Ir 2.61

Most favorable structure: x). The second most favorable one is 282 meV/atom above it.

w) First-principles (GGA-PBE) data for a relaxed TeIrPbI2 crystal, as listed in the Alexandria database.

Summary:
DOS at the Fermi energy   7.15 states/eV per cell
Symmetry   P4/mmm (123)
Magnetic moment   3.436 μB per formula unit
Volume   222.4 Å³/f.u.

a b c (Å): 6.0866 6.0866 6.0039
angles (deg): 90.00 90.00 90.00
Closest atoms and distances in Å follow each position.
Positions (direct):
1 Te 0.0000 0.0000 0.0000  2 Pb 3.00
2 Ir 0.5000 0.5000 0.0000  8 I 4.27, 4 Te 4.30
3 Pb 0.0000 0.0000 0.5000  2 Te 3.00, 4 I 3.04
4 I 0.0000 0.5000 0.5000  2 Pb 3.04
5 I 0.5000 0.0000 0.5000  2 Pb 3.04

x) First-principles (GGA-PBE) data for a relaxed TeIrPbI2 crystal, as listed in the Alexandria database.

Summary:
DOS at the Fermi energy   3.45 states/eV per cell
Symmetry   P4/mmm (123)
Magnetic moment   0.000 μB per formula unit
Volume   157.4 Å³/f.u.

a b c (Å): 5.4392 5.4392 5.3215
angles (deg): 90.00 90.00 90.00
Closest atoms and distances in Å follow each position.
Positions (direct):
1 Te 0.0000 0.0000 0.0000  2 Ir 2.66
2 Ir 0.0000 0.0000 0.5000  2 Te 2.66, 4 I 2.72
3 Pb 0.5000 0.5000 0.0000  8 I 3.80, 4 Te 3.85
4 I 0.0000 0.5000 0.5000  2 Ir 2.72
5 I 0.5000 0.0000 0.5000  2 Ir 2.72

Most favorable structure: x). The second most favorable one is 1102 meV/atom above it.